# Zn2Pb

A relaxed Zn2Pb crystal (PBE, Alexandria).

a = 3.4995 Å, b = 3.4995 Å, c = 6.2485 Å
α = 90.00°, β = 90.00°, γ = 120.00°
Last column: nearest neighbours and their distance in Å.
Space group P-3m1 (No. 164)
Asymmetric unit:
Zn 0.3333 0.6667 0.3647 x2  3 Zn 2.63
Pb 0.0000 0.0000 0.0000 x1  6 Zn 3.05

**Formation energy**: 0.18 eV/atom
**Crystal system**: trigonal
**Fermi-level density of states**: 0.277 states/eV/atom
**Final energy**: -1.90 eV/atom